TiNiSbO6 | PBE with a Hubbard U | relaxed

POSCAR file:
```
TiNiSbO6
1.0
5.187 0.000 0.000
-2.593 4.492 0.000
0.000 0.000 8.738
Ti Ni Sb O
2 2 2 12
Direct
0.333 0.667 0.250
0.667 0.333 0.750
0.000 0.000 0.000
0.000 0.000 0.500
0.333 0.667 0.750
0.667 0.333 0.250
0.005 0.348 0.130
0.005 0.657 0.370
0.343 0.348 0.370
0.343 0.995 0.130
0.348 0.005 0.630
0.348 0.343 0.870
0.652 0.657 0.130
0.652 0.995 0.370
0.657 0.005 0.870
0.657 0.652 0.630
0.995 0.343 0.630
0.995 0.652 0.870
```

Computed properties:
The final energy is -6.5585 eV per atom. The value obtained for the volume is 11.31 Å³ per atom. The space-group type is P-31c.